(1)
Below is a geometry-optimized KZrSb2 structure, with properties calculated at the GGA-PBE level.

POSCAR file:
```
KZrSb2
1.0
4.165 -0.014 0.007
2.849 3.038 0.007
1.179 0.508 9.304
Zr K Sb
1 1 2
Cartesian
6.144 2.649 6.988 Zr
2.048 0.883 2.329 K
1.219 0.526 8.947 Sb
4.056 1.749 5.015 Sb
```

Values from the calculation:
spin magnetization	0.000	μB/f.u.
offset from the most stable computed form	0.24	eV per formula unit
crystal system	monoclinic
E_tot	-4.910	eV/atom
SG	C2/m



(2)
Below is a geometry-optimized ScTiCuS4 structure, with properties calculated at the GGA-PBE level.

POSCAR file:
```
ScTiCuS4
1.0
7.146 0.000 0.000
3.573 6.292 0.074
3.573 1.987 5.970
S Ti Sc Cu
8 2 2 2
Cartesian
10.719 6.289 4.451 S
3.573 1.990 1.593 S
5.351 2.961 4.422 S
5.351 5.318 1.622 S
7.146 6.263 4.432 S
7.146 2.016 1.612 S
8.941 5.318 1.622 S
8.941 2.961 4.422 S
1.786 0.994 2.985 Ti
5.359 0.994 2.985 Ti
3.573 4.139 3.022 Sc
0.000 0.000 0.000 Sc
7.146 4.179 0.791 Cu
7.146 4.100 5.253 Cu
```

Values from the calculation:
spin magnetization	0.000	μB/f.u.
crystal system	orthorhombic
E_tot	-6.281	eV/atom
SG	Imma



(3)
Below is a geometry-optimized CdPCl2 structure, with properties calculated at the GGA-PBE level.

POSCAR file:
```
CdPCl2
1.0
3.341 0.000 0.000
0.000 5.441 0.000
0.000 0.000 5.158
Cl Cd P
2 1 1
Cartesian
0.000 0.000 0.284 Cl
1.670 2.720 0.725 Cl
1.670 2.720 3.283 Cd
0.000 0.000 3.445 P
```

Values from the calculation:
spin magnetization	0.000	μB/f.u.
offset from the most stable computed form	1.03	eV per formula unit
crystal system	orthorhombic
E_tot	-2.643	eV/atom
SG	Pmm2



(4)
Below is a geometry-optimized NdYZnPt structure, with properties calculated at the GGA-PBE level.

POSCAR file:
```
NdYZnPt
1.0
-0.974 -1.735 -3.379
4.010 -2.008 -0.125
-1.552 -3.378 4.457
Pt Zn Y Nd
1 1 1 1
Cartesian
-1.733 -3.609 2.353 Pt
1.223 -2.486 -1.352 Zn
0.047 -4.934 0.244 Y
-0.579 -1.205 0.786 Nd
```

Values from the calculation:
spin magnetization	0.000	μB/f.u.
offset from the most stable computed form	0.00	eV per formula unit
crystal system	orthorhombic
E_tot	-5.399	eV/atom
SG	Amm2